# 1
! YVSe2 PBE relaxed; values from VASP
! Excess energy over the best structure of this formula in the dataset ... 0 meV per atom
&SYSTEM
  ibrav = 0, nat = 8, ntyp = 3
/
ATOMIC_SPECIES
Y 88.91 Y.upf
V 50.94 V.upf
Se 78.96 Se.upf
CELL_PARAMETERS angstrom
5.993 0.000 0.000
0.000 5.993 0.000
2.997 2.997 6.276
ATOMIC_POSITIONS angstrom
Y 0.000 0.000 0.000
Y 5.993 2.997 3.138
V 2.997 5.993 3.138
V 2.997 2.997 0.000
Se 4.495 4.712 4.707
Se 1.715 4.495 1.569
Se 4.278 1.498 1.569
Se 7.491 7.274 4.707



# 2
! YVSe2 PBE relaxed; values from VASP
! Excess energy over the best structure of this formula in the dataset ... 16 meV per atom
&SYSTEM
  ibrav = 0, nat = 4, ntyp = 3
/
ATOMIC_SPECIES
Se 78.96 Se.upf
V 50.94 V.upf
Y 88.91 Y.upf
CELL_PARAMETERS angstrom
0.000 3.355 3.355
3.355 0.000 3.355
3.355 3.355 0.000
ATOMIC_POSITIONS angstrom
Se 5.033 5.033 5.033
Se 1.678 1.678 1.678
V 0.000 0.000 0.000
Y 3.355 3.355 3.355



# 3
! YVSe PBE relaxed; values from VASP
! Calculated total energy ... -7.1359 eV/atom
&SYSTEM
  ibrav = 0, nat = 6, ntyp = 3
/
ATOMIC_SPECIES
Se 78.96 Se.upf
Y 88.91 Y.upf
V 50.94 V.upf
CELL_PARAMETERS angstrom
-1.275 -0.406 3.952
-2.743 -2.185 -1.109
3.599 -7.796 0.361
ATOMIC_POSITIONS angstrom
Se 0.138 -6.602 0.468
Se -0.557 -3.785 2.735
Y 1.323 -6.321 3.082
Y -1.742 -4.067 0.122
V 1.687 -8.692 0.753
V -2.106 -1.695 2.450



# 4
! VZnSe3 PBE relaxed; values from VASP
! Excess energy over the best structure of this formula in the dataset ... 0 meV per atom
&SYSTEM
  ibrav = 0, nat = 10, ntyp = 3
/
ATOMIC_SPECIES
V 50.94 V.upf
Se 78.96 Se.upf
Zn 65.41 Zn.upf
CELL_PARAMETERS angstrom
-1.035 -2.825 -1.966
6.321 -2.782 0.669
-8.281 -1.661 6.747
ATOMIC_POSITIONS angstrom
V -0.968 -1.164 0.539
V -2.027 -6.105 4.911
Se 2.959 -3.892 2.392
Se -1.829 -3.609 4.506
Se 4.019 -4.257 -0.927
Se -1.166 -3.659 0.944
Se -7.014 -3.011 6.377
Se -5.954 -3.376 3.058
Zn 0.838 -4.848 1.597
Zn -3.832 -2.421 3.853



# 5
! V2ZnSe PBE relaxed; values from VASP
! Excess energy over the best structure of this formula in the dataset ... 0 meV per atom
&SYSTEM
  ibrav = 0, nat = 4, ntyp = 3
/
ATOMIC_SPECIES
Zn 65.41 Zn.upf
Se 78.96 Se.upf
V 50.94 V.upf
CELL_PARAMETERS angstrom
-2.225 1.309 3.479
-3.570 -2.131 1.216
0.028 -2.388 3.614
ATOMIC_POSITIONS angstrom
Zn 0.000 0.000 0.000
Se -2.883 -1.605 4.154
V -4.325 -2.408 6.231
V -1.442 -0.803 2.077



# 6
! VZnSe3 PBE relaxed; values from VASP
! Excess energy over the best structure of this formula in the dataset ... 1103 meV per atom
&SYSTEM
  ibrav = 0, nat = 5, ntyp = 3
/
ATOMIC_SPECIES
V 50.94 V.upf
Se 78.96 Se.upf
Zn 65.41 Zn.upf
CELL_PARAMETERS angstrom
4.876 0.000 0.000
0.000 4.876 0.000
0.000 0.000 4.876
ATOMIC_POSITIONS angstrom
V 2.438 2.438 2.438
Se 0.000 0.000 2.438
Se 2.438 0.000 0.000
Se 0.000 2.438 0.000
Zn 0.000 0.000 0.000